Crystalline Na2ErThSe4 at its relaxed geometry. Source: Alexandria, functional PBE.

Lattice parameters (Å, degrees): 7.201 4.121 7.487 90.00 108.33 90.00
Space group P2/m (No. 10)
Inequivalent atoms, fractional coordinates:
Na 0.000 0.000 0.000 x1
Na 0.500 0.500 0.000 x1
Er 0.000 0.500 0.500 x1
Th 0.500 0.000 0.500 x1
Se 0.238 0.000 0.732 x2
Se 0.244 0.500 0.259 x2

Summary:
ΔE_f (raw)	-1.576	eV/atom
density of states at the Fermi level	0.486	states/eV per atom
VASP energy	-41.17	eV/cell